DFT (GGA-PBE) results for a relaxed LiNpAu2O8 crystal.

Results
V (Å³/cell): 164.77
Density (g/cm³): 7.72
Formation energy without anion corrections (kJ/mol of formula units): -869
Space-group type: I-4m2 (119)
DOS at the Fermi energy (states/eV per atom): 0.748

Unit cell a=5.9888 b=5.9888 c=5.9888 alpha=111.47 beta=111.47 gamma=105.54
Element x y z (fractional)
O (0.9629, 0.2557, 0.2928)
O (0.5442, 0.7181, 0.8260)
Au (0.5000, 0.5000, 0.0000)
Li (0.2500, 0.7500, 0.5000)
O (0.3299, 0.0371, 0.2928)
O (0.7443, 0.0371, 0.7072)
Np (0.0000, 0.0000, 0.0000)
O (0.8921, 0.7181, 0.1740)
Au (0.7500, 0.2500, 0.5000)
O (0.2819, 0.4558, 0.1740)
O (0.9629, 0.6701, 0.7072)
O (0.2819, 0.1079, 0.8260)